[1]
A relaxed K3ZnCl5 crystal, computed with PBE.

Calculated values
Total moment: 0.60 Bohr magnetons per cell
Energy relative to the elements, uncorrected: -1478 kJ/mol of formula units

Lattice parameters (Å, degrees): 8.6289 8.6289 14.1745 90.00 90.00 90.00
With the nearest neighbours (Å) after each atom.
Space group I4/mcm (No. 140)
One atom of each set of equivalent atoms:
K1 0.0000 0.0000 0.2500 x4  10 Cl 3.54-3.59
K2 0.1646 0.3354 0.0000 x8  8 Cl 3.14-3.43
Zn1 0.0000 0.5000 0.2500 x4  4 Cl 2.28
Cl1 0.0000 0.0000 0.0000 x4  6 K 3.22-3.54
Cl2 0.1466 0.3534 0.3494 x16  1 Zn 2.28

[2]
A relaxed KZn2Cl crystal, computed with PBE.

Calculated values
Total moment: 0.00 Bohr magnetons per cell
Energy relative to the elements, uncorrected: -226 kJ/mol of formula units
Relative energy among the computed polymorphs: 0.00 eV/f.u.

Lattice parameters (Å, degrees): 4.0254 3.7897 7.3194 90.00 105.87 90.00
With the nearest neighbours (Å) after each atom.
Space group Pm (No. 6)
One atom of each set of equivalent atoms:
K1 0.0000 0.0000 0.0000 x1  4 Cl 3.03
Zn1 0.2230 0.5000 0.4495 x1  1 Cl 2.64, 4 Zn 2.77
Zn2 0.7122 0.0000 0.4261 x1  4 Zn 2.77
Cl1 0.4127 0.5000 0.8243 x1  1 Zn 2.64

[3]
A relaxed KZn2Cl crystal, computed with PBE.

Calculated values
Total moment: 0.00 Bohr magnetons per cell
Energy relative to the elements, uncorrected: -203 kJ/mol of formula units
Relative energy among the computed polymorphs: 0.24 eV/f.u.

Lattice parameters (Å, degrees): 13.8350 3.9478 4.3932 90.00 106.53 90.00
With the nearest neighbours (Å) after each atom.
Space group C2/m (No. 12)
One atom of each set of equivalent atoms:
K1 0.0000 0.0000 0.0000 x2  4 Cl 2.95
Zn1 0.2494 0.0000 0.7377 x4  4 Zn 2.88-3.03
Cl1 0.0000 0.5000 0.5000 x2  4 K 2.95

[4]
A relaxed K4ZnCl crystal, computed with PBE.

Calculated values
Total moment: 0.00 Bohr magnetons per cell
Energy relative to the elements, uncorrected: -56 kJ/mol of formula units

Lattice parameters (Å, degrees): 11.1930 11.1930 11.1930 90.00 90.00 90.00
With the nearest neighbours (Å) after each atom.
Space group F-43m (No. 216)
One atom of each set of equivalent atoms:
K1 0.1243 0.1243 0.3757 x16  6 K 3.94-3.98
Zn1 0.0000 0.0000 0.0000 x4  12 K 4.64, 4 Cl 4.85
Cl1 0.2500 0.2500 0.7500 x4  12 K 4.64, 4 Zn 4.85

[5]
A relaxed KZn2Cl crystal, computed with PBE.

Calculated values
Total moment: 0.00 Bohr magnetons per cell
Energy relative to the elements, uncorrected: -88 kJ/mol of formula units
Relative energy among the computed polymorphs: 1.43 eV/f.u.

Lattice parameters (Å, degrees): 7.9587 7.9587 7.9587 90.00 90.00 90.00
With the nearest neighbours (Å) after each atom.
Space group Fm-3m (No. 225)
One atom of each set of equivalent atoms:
K1 0.0000 0.0000 0.0000 x4  8 Zn 3.45
Zn1 0.2500 0.2500 0.2500 x8  4 K 3.45, 4 Cl 3.45
Cl1 0.0000 0.0000 0.5000 x4  8 Zn 3.45

[6]
A relaxed K3ZnCl crystal, computed with PBE.

Calculated values
Total moment: 0.00 Bohr magnetons per cell
Energy relative to the elements, uncorrected: -279 kJ/mol of formula units
Relative energy among the computed polymorphs: 0.00 eV/f.u.

Lattice parameters (Å, degrees): 6.1033 6.1033 6.1033 90.00 90.00 90.00
With the nearest neighbours (Å) after each atom.
Space group Pm-3m (No. 221)
One atom of each set of equivalent atoms:
K1 0.0000 0.0000 0.5000 x3  2 Cl 3.05
Zn1 0.5000 0.5000 0.5000 x1  12 K 4.32
Cl1 0.0000 0.0000 0.0000 x1  6 K 3.05

[7]
A relaxed KZn2Cl crystal, computed with PBE.

Calculated values
Total moment: 0.00 Bohr magnetons per cell
Energy relative to the elements, uncorrected: -153 kJ/mol of formula units
Relative energy among the computed polymorphs: 0.76 eV/f.u.

Lattice parameters (Å, degrees): 7.6602 7.6602 7.6602 90.00 90.00 90.00
With the nearest neighbours (Å) after each atom.
Space group F-43m (No. 216)
One atom of each set of equivalent atoms:
K1 0.0000 0.0000 0.0000 x4  4 Zn 3.32, 4 Cl 3.32
Zn1 0.0000 0.0000 0.5000 x4  4 Cl 3.32, 4 Zn 3.32
Zn2 0.2500 0.2500 0.2500 x4  4 Zn 3.32, 4 K 3.32
Cl1 0.2500 0.2500 0.7500 x4  4 K 3.32, 4 Zn 3.32

[8]
A relaxed K2ZnCl crystal, computed with PBE.

Calculated values
Total moment: 0.00 Bohr magnetons per cell
Energy relative to the elements, uncorrected: -300 kJ/mol of formula units
Relative energy among the computed polymorphs: 0.05 eV/f.u.

Lattice parameters (Å, degrees): 7.5292 4.3371 9.4589 90.00 105.24 90.00
With the nearest neighbours (Å) after each atom.
Space group C2/m (No. 12)
One atom of each set of equivalent atoms:
K1 0.2366 0.0000 0.2116 x4  3 Cl 3.16-3.17
Zn1 0.0000 0.0000 0.5000 x2  6 K 3.63-3.64
Cl1 0.0000 0.5000 0.0000 x2  6 K 3.16-3.17

[9]
A relaxed K2ZnCl crystal, computed with PBE.

Calculated values
Total moment: 0.00 Bohr magnetons per cell
Energy relative to the elements, uncorrected: -305 kJ/mol of formula units
Relative energy among the computed polymorphs: 0.00 eV/f.u.

Lattice parameters (Å, degrees): 3.8820 3.8820 8.5844 90.00 90.00 90.00
With the nearest neighbours (Å) after each atom.
Space group P4/mmm (No. 123)
One atom of each set of equivalent atoms:
K1 0.0000 0.0000 0.2183 x2  4 Cl 3.32, 4 Zn 3.66
Zn1 0.5000 0.5000 0.5000 x1  8 K 3.66, 4 Zn 3.88
Cl1 0.5000 0.5000 0.0000 x1  8 K 3.32

[10]
A relaxed K2ZnCl crystal, computed with PBE.

Calculated values
Total moment: 0.00 Bohr magnetons per cell
Energy relative to the elements, uncorrected: -251 kJ/mol of formula units
Relative energy among the computed polymorphs: 0.56 eV/f.u.

Lattice parameters (Å, degrees): 4.3975 7.4769 10.4727 90.00 90.00 90.00
With the nearest neighbours (Å) after each atom.
Space group Immm (No. 71)
One atom of each set of equivalent atoms:
K1 0.0000 0.0000 0.1996 x4  2 Cl 3.03
Zn1 0.0000 0.5000 0.0000 x2  8 K 3.84-4.28
Cl1 0.0000 0.5000 0.5000 x2  4 K 3.03

[11]
A relaxed K2Zn3Cl8 crystal, computed with PBE.

Calculated values
Total moment: 0.49 Bohr magnetons per cell
Energy relative to the elements, uncorrected: -1729 kJ/mol of formula units

Lattice parameters (Å, degrees): 14.9343 9.2830 6.2252 90.00 114.27 90.00
With the nearest neighbours (Å) after each atom.
Space group C2/m (No. 12)
One atom of each set of equivalent atoms:
K1 0.2302 0.0000 0.3524 x4  6 Cl 3.22-3.35
Zn1 0.0000 0.1776 0.5000 x4  4 Cl 2.24-2.38
Zn2 0.0000 0.5000 0.0000 x2  2 Cl 2.18
Cl1 0.0957 0.2816 0.3460 x8  1 Zn 2.24
Cl2 0.0993 0.0000 0.7681 x4  2 Zn 2.38
Cl3 0.1325 0.5000 0.9336 x4  1 Zn 2.18

[12]
A relaxed K2ZnCl crystal, computed with PBE.

Calculated values
Total moment: 0.00 Bohr magnetons per cell
Energy relative to the elements, uncorrected: -283 kJ/mol of formula units
Relative energy among the computed polymorphs: 0.22 eV/f.u.

Lattice parameters (Å, degrees): 4.1848 4.1848 9.6144 90.00 90.00 90.00
With the nearest neighbours (Å) after each atom.
Space group P4mm (No. 99)
One atom of each set of equivalent atoms:
K1 0.0000 0.0000 0.0000 x1  4 Cl 3.11
K2 0.5000 0.5000 0.4178 x1  1 Cl 3.05
Zn1 0.0000 0.0000 0.6263 x1  5 K 3.57-3.59
Cl1 0.5000 0.5000 0.1002 x1  5 K 3.05-3.11

[13]
A relaxed KZnCl3 crystal, computed with PBE.

Calculated values
Total moment: 0.00 Bohr magnetons per cell
Energy relative to the elements, uncorrected: -673 kJ/mol of formula units

Lattice parameters (Å, degrees): 4.9656 4.9656 4.9656 90.00 90.00 90.00
With the nearest neighbours (Å) after each atom.
Space group Pm-3m (No. 221)
One atom of each set of equivalent atoms:
K1 0.0000 0.0000 0.0000 x1  12 Cl 3.51
Zn1 0.5000 0.5000 0.5000 x1  6 Cl 2.48
Cl1 0.0000 0.5000 0.5000 x3  2 Zn 2.48

[14]
A relaxed K2ZnCl crystal, computed with PBE.

Calculated values
Total moment: 0.00 Bohr magnetons per cell
Energy relative to the elements, uncorrected: -247 kJ/mol of formula units
Relative energy among the computed polymorphs: 0.60 eV/f.u.

Lattice parameters (Å, degrees): 4.6478 4.6478 14.2061 90.00 90.00 90.00
With the nearest neighbours (Å) after each atom.
Space group I-4m2 (No. 119)
One atom of each set of equivalent atoms:
K1 0.0000 0.0000 0.0000 x2  4 Cl 3.29
K2 0.0000 0.5000 0.2500 x2  4 Zn 3.29
Zn1 0.0000 0.5000 0.7500 x2  4 K 3.29
Cl1 0.0000 0.0000 0.5000 x2  4 K 3.29

[15]
A relaxed KZn2Cl crystal, computed with PBE.

Calculated values
Total moment: 0.00 Bohr magnetons per cell
Energy relative to the elements, uncorrected: -160 kJ/mol of formula units
Relative energy among the computed polymorphs: 0.69 eV/f.u.

Lattice parameters (Å, degrees): 4.9861 5.4874 5.4947 87.22 63.22 63.20
With the nearest neighbours (Å) after each atom.
Space group P1 (No. 1)
One atom of each set of equivalent atoms:
K1 0.0000 0.0000 0.0000 x1  2 Cl 3.15, 5 Zn 3.40-3.50
Zn1 0.4998 0.6809 0.3192 x1  2 Zn 2.72
Zn2 0.9987 0.5397 0.4630 x1  2 Zn 2.72
Cl1 0.5011 0.2540 0.7438 x1  2 K 3.15, 4 Zn 3.23-3.50

[16]
A relaxed KZn2Cl crystal, computed with PBE.

Calculated values
Total moment: 0.00 Bohr magnetons per cell
Energy relative to the elements, uncorrected: -86 kJ/mol of formula units
Relative energy among the computed polymorphs: 1.45 eV/f.u.

Lattice parameters (Å, degrees): 4.1906 4.1906 25.2495 90.00 90.00 120.00
With the nearest neighbours (Å) after each atom.
Space group R-3m (No. 166, hexagonal axes)
One atom of each set of equivalent atoms:
K1 0.0000 0.0000 0.0000 x3  6 Zn 3.47
Zn1 0.0000 0.0000 0.2350 x6  3 Cl 2.97
Cl1 0.0000 0.0000 0.5000 x3  6 Zn 2.97

[17]
A relaxed K2ZnCl crystal, computed with PBE.

Calculated values
Total moment: 0.00 Bohr magnetons per cell
Energy relative to the elements, uncorrected: -265 kJ/mol of formula units
Relative energy among the computed polymorphs: 0.41 eV/f.u.

Lattice parameters (Å, degrees): 8.7724 8.7724 8.9273 90.00 90.00 90.00
With the nearest neighbours (Å) after each atom.
Space group I-42d (No. 122)
One atom of each set of equivalent atoms:
K1 0.1999 0.2500 0.1250 x8  2 Cl 3.02
Zn1 0.0000 0.0000 0.5000 x4  4 K 3.60
Cl1 0.0000 0.0000 0.0000 x4  4 K 3.02

[18]
A relaxed K3ZnCl6 crystal, computed with PBE.

Calculated values
Total moment: 0.00 Bohr magnetons per cell
Energy relative to the elements, uncorrected: -1449 kJ/mol of formula units

Lattice parameters (Å, degrees): 13.3565 17.1919 5.7768 90.00 90.00 90.00
With the nearest neighbours (Å) after each atom.
Space group Cmc2_1 (No. 36)
One atom of each set of equivalent atoms:
K1 0.0000 0.1180 0.0000 x4  7 Cl 3.13-3.32
K2 0.1847 0.3790 0.0233 x8  6 Cl 3.09-3.26
Zn1 0.0000 0.2941 0.5885 x4  4 Cl 2.26-2.30
Cl1 0.0000 0.2875 0.1970 x4  1 Zn 2.26
Cl2 0.0000 0.4221 0.6925 x4  1 Zn 2.28
Cl3 0.1427 0.2306 0.7054 x8  1 Zn 2.30
Cl4 0.1622 0.0020 0.2647 x8  2 Cl 2.89

[19]
A relaxed KZn2Cl crystal, computed with PBE.

Calculated values
Total moment: 0.00 Bohr magnetons per cell
Energy relative to the elements, uncorrected: -206 kJ/mol of formula units
Relative energy among the computed polymorphs: 0.21 eV/f.u.

Lattice parameters (Å, degrees): 4.1093 4.1093 6.8013 90.00 90.00 90.00
With the nearest neighbours (Å) after each atom.
Space group P4/mmm (No. 123)
One atom of each set of equivalent atoms:
K1 0.0000 0.0000 0.0000 x1  4 Cl 2.91
Zn1 0.0000 0.5000 0.5000 x2  4 Zn 2.91
Cl1 0.5000 0.5000 0.0000 x1  4 K 2.91

[20]
A relaxed K2ZnCl crystal, computed with PBE.

Calculated values
Total moment: 0.00 Bohr magnetons per cell
Energy relative to the elements, uncorrected: -234 kJ/mol of formula units
Relative energy among the computed polymorphs: 0.74 eV/f.u.

Lattice parameters (Å, degrees): 8.2418 8.2418 8.2418 90.00 90.00 90.00
With the nearest neighbours (Å) after each atom.
Space group Fm-3m (No. 225)
One atom of each set of equivalent atoms:
K1 0.2500 0.2500 0.2500 x8  4 Cl 3.57, 4 Zn 3.57
Zn1 0.0000 0.0000 0.0000 x4  8 K 3.57
Cl1 0.0000 0.0000 0.5000 x4  8 K 3.57